CsMgSeN2 | Alexandria | PBE | relaxed; ΔE to the lowest computed polymorph = 994 meV per atom; formation energy (no corrections) = 1877 meV/atom; symmetry = No. 123
1.0
-0.047 -1.427 -4.123
3.883 -1.893 0.610
-3.283 -6.049 2.131
Mg N Cs Se
1 2 1 1
Cartesian
0.276 -4.684 -0.691
1.942 -0.946 0.305
-0.024 -0.713 -2.061
0.000 0.000 0.000
-1.642 -3.025 1.065

=====

ZrPaP2 | Alexandria | PBE | relaxed; ΔE to the lowest computed polymorph = 1090 meV per atom; formation enthalpy at 0 K = -276 meV per atom; symmetry = No. 166
1.0
-1.023 -2.167 3.223
-2.251 -3.298 -0.430
5.419 -6.154 0.084
P Pa Zr
2 1 1
Cartesian
-1.202 -6.843 2.523
3.348 -4.776 0.353
1.073 -5.809 1.438
0.000 0.000 0.000

=====

CaLaTl2 | Alexandria | PBE | relaxed; formation enthalpy at 0 K = -157 meV per atom; symmetry = No. 99
1.0
3.840 0.062 0.000
-0.063 3.840 0.000
0.000 0.000 8.924
Tl La Ca
2 1 1
Cartesian
1.889 1.951 2.070
0.000 0.000 0.207
1.889 1.951 7.011
0.000 0.000 4.098

=====

Tm8AsP3Se4 | Alexandria | PBE | relaxed; formation energy (no corrections) = -1718 meV/atom; symmetry = No. 166
1.0
7.967 0.000 0.000
0.000 8.044 0.049
-3.984 -3.980 5.637
Se Tm P As
4 8 3 1
Cartesian
0.000 0.000 0.000
3.984 0.000 0.000
1.992 -1.990 2.819
-1.992 -1.990 2.819
3.984 0.152 2.873
5.940 2.106 0.104
0.000 0.147 2.920
2.027 2.106 0.104
0.000 3.913 2.813
1.957 1.958 5.582
3.984 3.917 2.766
-1.957 1.958 5.582
-1.992 2.032 2.843
1.992 2.032 2.843
3.984 4.022 0.024
0.000 4.022 0.024

=====

TaBe2Fe | Alexandria | PBE | relaxed; ΔE to the lowest computed polymorph = 535 meV per atom; formation enthalpy at 0 K = 448 meV per atom; symmetry = No. 122
1.0
-1.935 -1.480 -2.438
1.261 -3.087 0.873
-6.589 -3.265 4.775
Ta Fe Be
2 2 4
Cartesian
-4.431 -3.514 0.777
0.000 0.000 0.000
-2.833 -4.318 2.432
-0.337 -2.283 -0.783
-5.135 -4.309 3.035
-5.592 -6.298 2.169
-2.607 -2.057 -0.105
-1.193 -3.001 1.318

=====

BSeF | Alexandria | PBE | relaxed; ΔE to the lowest computed polymorph = 10 meV per atom; formation energy (no corrections) = -1294 meV/atom; symmetry = No. 6
1.0
-4.234 0.049 2.217
0.174 -3.289 0.406
3.510 0.869 5.542
F Se B
2 2 2
Cartesian
-0.733 -0.768 7.661
-0.495 0.337 2.944
-1.833 -1.158 4.973
1.097 0.721 5.375
2.280 -0.957 4.840
-0.689 0.493 4.291

=====

Pm3CuPb2 | Alexandria | PBE | relaxed; formation enthalpy at 0 K = -299 meV per atom; symmetry = No. 15
1.0
-5.825 -2.850 -0.459
1.328 -3.575 5.349
-0.591 8.101 3.248
Pm Pb Cu
6 4 2
Cartesian
-1.608 1.528 1.493
-3.480 0.148 6.645
-3.552 -2.794 1.032
0.249 0.324 4.262
-5.337 1.352 3.877
-0.945 -3.631 3.859
-2.710 -0.963 3.674
-0.532 1.428 7.232
-4.556 0.247 0.907
-2.378 2.638 4.465
-0.424 -1.264 1.278
-4.073 -5.162 3.613

=====

Hg2PbCl | Alexandria | PBE | relaxed; ΔE to the lowest computed polymorph = 212 meV per atom; formation energy (no corrections) = -84 meV/atom; symmetry = No. 122
1.0
-2.580 -4.168 -4.950
1.852 -5.582 3.734
-6.097 -4.813 2.328
Cl Hg Pb
2 4 2
Cartesian
-0.364 -4.875 -0.608
-2.305 -7.635 2.727
-0.689 -5.212 2.298
-2.906 -4.506 -2.046
-5.210 -12.141 0.682
-4.846 -7.265 1.289
-4.521 -6.927 -1.615
0.000 0.000 0.000

=====

Question: Which formula does entry 8 have?
Answer: Hg2PbCl